Computed, not measured: a relaxed ZnP2H14C2N6O6 crystal at the PBE level of DFT.

DFT total energy: -5.889 eV/atom
Fermi-level density of states: 0.0000 states/eV/atom
total magnetic moment: 0.0 μB per formula unit
symmetry: Fdd2 (43)

Structure (POSCAR):
```
ZnP2H14C2N6O6
1.0
0.0000 7.6233 7.2475
5.9533 0.0000 7.2475
5.9533 7.6233 0.0000
Zn P H C N O
2 4 28 4 12 12
Direct
0.0000 0.0000 0.0000
0.2500 0.2500 0.2500
0.0185 0.1390 0.6340
0.0416 0.6160 0.1110
0.1390 0.0185 0.2084
0.6160 0.0416 0.2315
0.0081 0.4733 0.9192
0.0304 0.3479 0.8013
0.0390 0.7304 0.7885
0.0534 0.4631 0.5264
0.0631 0.8034 0.5800
0.0644 0.6651 0.4419
0.1519 0.9850 0.5673
0.2929 0.7236 0.7869
0.3308 0.6506 0.2419
0.3479 0.0304 0.8204
0.4214 0.8081 0.5849
0.4296 0.4487 0.9021
0.4487 0.4296 0.2196
0.4615 0.8079 0.2110
0.4631 0.0534 0.9571
0.4733 0.0081 0.5994
0.6506 0.3308 0.7767
0.6651 0.0644 0.8286
0.6700 0.6965 0.1869
0.6827 0.9542 0.0981
0.6965 0.6700 0.4466
0.7236 0.2929 0.1966
0.7304 0.0390 0.4421
0.8034 0.0631 0.5535
0.8081 0.4214 0.1856
0.8079 0.4615 0.5196
0.9542 0.6827 0.2650
0.9850 0.1519 0.2958
0.0409 0.5791 0.6791
0.5491 0.5709 0.6709
0.5709 0.5491 0.2091
0.5791 0.0409 0.7009
0.0309 0.4540 0.8080
0.0396 0.7191 0.6877
0.0511 0.5684 0.5388
0.4082 0.7112 0.6816
0.4420 0.5430 0.2191
0.4540 0.0309 0.7070
0.5430 0.4420 0.7960
0.5623 0.6964 0.2104
0.5684 0.0511 0.8418
0.6964 0.5623 0.5309
0.7112 0.4082 0.1989
0.7191 0.0396 0.5536
0.0327 0.1479 0.7810
0.0603 0.2818 0.4861
0.0782 0.7639 0.9682
0.1400 0.8517 0.3219
0.1479 0.0327 0.0384
0.2116 0.4690 0.1021
0.2818 0.0603 0.1718
0.4690 0.2116 0.2173
0.5636 0.9281 0.3983
0.7639 0.0782 0.1897
0.8517 0.1400 0.6864
0.9281 0.5636 0.1100
```

Computed, not measured: a relaxed Ba2LiCaH crystal at the PBE level of DFT.

relative energy among the computed polymorphs: 402 meV per atom
Fermi-level density of states: 0.9689 states/eV/atom
total magnetic moment: 0.0 μB per formula unit
symmetry: P4/mmm (123)

Structure (POSCAR):
```
Ba2LiCaH
1.0
7.2448 0.0000 0.0000
0.0000 7.2448 0.0000
0.0000 0.0000 4.1583
Ba Li Ca H
2 1 1 1
Direct
0.0000 0.5000 0.0000
0.5000 0.0000 0.0000
0.0000 0.0000 0.5000
0.5000 0.5000 0.0000
0.5000 0.5000 0.5000
```

Computed, not measured: a relaxed TmThAu4 crystal at the PBE level of DFT.

relative energy among the computed polymorphs: 0 meV per atom
Fermi-level density of states: 0.4933 states/eV/atom
total magnetic moment: 0.0 μB per formula unit
symmetry: Cmmm (65)

Structure (POSCAR):
```
TmThAu4
1.0
2.6906 -4.6014 0.0000
2.6906 4.6014 0.0000
0.0000 0.0000 5.3815
Tm Th Au
1 1 4
Direct
0.0000 0.0000 0.0000
0.5000 0.5000 0.5000
0.1634 0.8366 0.5000
0.3313 0.6687 0.0000
0.6687 0.3313 0.0000
0.8366 0.1634 0.5000
```

Computed, not measured: a relaxed PrSm5Au4 crystal at the PBE level of DFT.

DFT total energy: -4.785 eV/atom
Fermi-level density of states: 0.8054 states/eV/atom
total magnetic moment: 0.0 μB per formula unit
symmetry: P4/mmm (123)

Structure (POSCAR):
```
PrSm5Au4
1.0
3.6619 0.0000 0.0000
0.0000 3.6619 0.0000
0.0000 0.0000 20.0259
Pr Sm Au
1 5 4
Direct
0.0000 0.0000 0.0000
0.5000 0.5000 0.1318
0.5000 0.5000 0.3145
0.5000 0.5000 0.5000
0.5000 0.5000 0.6855
0.5000 0.5000 0.8682
0.0000 0.0000 0.2210
0.0000 0.0000 0.4069
0.0000 0.0000 0.5931
0.0000 0.0000 0.7790
```

Computed, not measured: a relaxed Pu2CdTe crystal at the PBE level of DFT.

formation energy without anion corrections: -419 meV/atom
relative energy among the computed polymorphs: 0 meV per atom
Fermi-level density of states: 4.2348 states/eV/atom
total magnetic moment: 12.6 μB per formula unit
symmetry: P4/mmm (123)

Structure (POSCAR):
```
Pu2CdTe
1.0
3.8937 0.0000 0.0000
0.0000 3.8937 0.0000
0.0000 0.0000 7.1974
Pu Cd Te
2 1 1
Direct
0.0000 0.0000 0.2414
0.0000 0.0000 0.7586
0.5000 0.5000 0.5000
0.5000 0.5000 0.0000
```

Computed, not measured: a relaxed PrSmCd5 crystal at the PBE level of DFT.

DFT total energy: -2.130 eV/atom
Fermi-level density of states: 0.7467 states/eV/atom
total magnetic moment: 0.0 μB per formula unit
symmetry: P4/mmm (123)

Structure (POSCAR):
```
PrSmCd5
1.0
4.9675 0.0000 0.0000
0.0000 4.9675 0.0000
0.0000 0.0000 7.8730
Pr Sm Cd
1 1 5
Direct
0.0000 0.0000 0.0000
0.5000 0.5000 0.5000
0.0000 0.0000 0.5000
0.0000 0.5000 0.2504
0.0000 0.5000 0.7496
0.5000 0.0000 0.2504
0.5000 0.0000 0.7496
```